No. 1
Density functional theory data (PBE) for an optimized crystal structure of NdCuGe2.

Values from the calculation:
Calculated volume ... 21.2 Å³ per atom
DFT formation energy ... -0.444 eV/atom

abc: 10.5204 4.1939 4.1936
angles: 90.00 113.35 90.00
Last column: nearest neighbours and their distance in Å.
Space group Cm (No. 8)
Symmetry-distinct sites (fractional):
1 Nd 0.0000 0.0000 0.0000  4 Cu 3.20, 9 Ge 3.21-3.58
2 Cu 0.2499 0.0000 0.7494  4 Ge 2.40
3 Ge 0.1293 0.5000 0.6317  2 Cu 2.40, 1 Ge 2.50
4 Ge 0.3705 0.0000 0.3693  2 Cu 2.40, 1 Ge 2.50

=====

No. 2
Density functional theory data (PBE) for an optimized crystal structure of YCl3O.

Values from the calculation:
Calculated volume ... 29.6 Å³ per atom
Distance to the lowest polymorph of the same formula ... 0 meV per atom
ΔE_f (raw) ... -1118 meV/atom

abc: 5.2872 5.2872 5.2872
angles: 90.00 90.00 90.00
Last column: nearest neighbours and their distance in Å.
Space group Pm-3m (No. 221)
Symmetry-distinct sites (fractional):
1 Y 0.0000 0.0000 0.0000  6 Cl 2.64
2 Cl 0.0000 0.0000 0.5000  2 Y 2.64
3 O 0.5000 0.5000 0.5000  12 Cl 3.74

=====

No. 3
Density functional theory data (PBE) for an optimized crystal structure of MgCoI.

Values from the calculation:
Calculated volume ... 24.8 Å³ per atom
Distance to the lowest polymorph of the same formula ... 0 meV per atom
ΔE_f (raw) ... -248 meV/atom

abc: 6.7785 3.9142 11.4371
angles: 90.00 100.94 90.00
Last column: nearest neighbours and their distance in Å.
Space group C2/m (No. 12)
Symmetry-distinct sites (fractional):
1 Mg 0.0514 0.0000 0.1592  6 Co 2.85-2.92, 3 I 2.89-2.90
2 Co 0.1686 0.5000 0.0045  3 Co 2.26-2.27
3 I 0.2311 0.0000 0.6796  3 Mg 2.89-2.90

=====

No. 4
Density functional theory data (PBE) for an optimized crystal structure of TbPmEuCd.

Values from the calculation:
Calculated volume ... 31.1 Å³ per atom
DFT formation energy ... 0.030 eV/atom

abc: 7.9252 7.9252 7.9252
angles: 90.00 90.00 90.00
Last column: nearest neighbours and their distance in Å.
Space group F-43m (No. 216)
Symmetry-distinct sites (fractional):
1 Tb 0.0000 0.0000 0.0000  4 Cd 3.43, 4 Pm 3.43
2 Pm 0.2500 0.2500 0.2500  4 Tb 3.43, 4 Eu 3.43
3 Eu 0.0000 0.0000 0.5000  4 Cd 3.43, 4 Pm 3.43
4 Cd 0.2500 0.2500 0.7500  4 Tb 3.43, 4 Eu 3.43